! Sr3CdTe, optimized geometry, DFT GGA-PBEsol; values from VASP
! space group = Pm-3m
! density = 3.8 g cm⁻³
! uncorrected energy = -2.3340 eV per atom
! E_form (uncorrected) = -0.29 eV/atom
&SYSTEM
  ibrav = 0, nat = 5, ntyp = 3
/
ATOMIC_SPECIES
Sr 87.62 Sr.upf
Te 127.60 Te.upf
Cd 112.41 Cd.upf
CELL_PARAMETERS angstrom
6.034 0.000 0.000
0.000 6.034 0.000
0.000 0.000 6.034
ATOMIC_POSITIONS angstrom
Sr 0.000 3.017 0.000
Sr 0.000 0.000 3.017
Sr 3.017 0.000 0.000
Te 3.017 3.017 3.017
Cd 0.000 0.000 0.000